# Ta2NiMo

A relaxed Ta2NiMo crystal (PBE, Alexandria).

abc: 3.3748 4.1853 4.4988
angles: 90.00 90.00 90.00
Atoms (fractional coordinates):
Ta: 0.0000 0.0000 0.0000
Ta: 0.5000 0.0000 0.5000
Ni: 0.0000 0.5000 0.5000
Mo: 0.5000 0.5000 0.0000

Calculated values
The calculation puts the total moment at 0.000 μB/cell. As for the density: 13.5 Mg/m³. Its space-group type is Pmmm. The calculation puts the calculated formation energy at 7 kJ/mol of formula units.